This record from the Alexandria database describes a geometry-optimized Sn2SeI structure. The functional is PBE-GGA.

Values from the calculation:
Offset from the most stable computed form, meV per atom: 13
Magnetization, Bohr magnetons per cell: 0.000

a = 4.0454 Å, b = 4.0454 Å, c = 26.4336 Å
α = 90.00°, β = 90.00°, γ = 120.00°
Closest atoms and distances in Å follow each position.
Sites, in units of the cell vectors:
Sn 0.0000 0.0000 0.0000  3 Se 2.97
Sn 0.0000 0.0000 0.1897  3 Se 3.05
Sn 0.3333 0.6667 0.6667  3 Se 2.97
Sn 0.3333 0.6667 0.8563  3 Se 3.05
Sn 0.6667 0.3333 0.3333  3 Se 2.97
Sn 0.6667 0.3333 0.5230  3 Se 3.05
Se 0.0000 0.0000 0.5972  6 Sn 2.97-3.05
Se 0.3333 0.6667 0.2638  6 Sn 2.97-3.05
Se 0.6667 0.3333 0.9305  6 Sn 2.97-3.05
I 0.0000 0.0000 0.4259  6 Sn 3.38-3.47
I 0.3333 0.6667 0.0925  6 Sn 3.38-3.47
I 0.6667 0.3333 0.7592  6 Sn 3.38-3.47

This record from the Alexandria database describes a geometry-optimized Sn3Se3I structure. The functional is PBE-GGA.

Values from the calculation:
Offset from the most stable computed form, meV per atom: 0
Magnetization, Bohr magnetons per cell: 0.000

a = 10.1349 Å, b = 10.1349 Å, c = 5.8086 Å
α = 90.00°, β = 90.00°, γ = 120.00°
Closest atoms and distances in Å follow each position.
Sites, in units of the cell vectors:
Sn 0.0741 0.3131 0.2500  4 Se 2.73-2.94
Sn 0.2390 0.9259 0.2500  4 Se 2.73-2.94
Sn 0.3131 0.2390 0.7500  4 Se 2.73-2.94
Sn 0.6869 0.7610 0.2500  4 Se 2.73-2.94
Sn 0.7610 0.0741 0.7500  4 Se 2.73-2.94
Sn 0.9259 0.6869 0.7500  4 Se 2.73-2.94
Se 0.0586 0.3008 0.7500  4 Sn 2.73-2.94
Se 0.2422 0.9414 0.7500  4 Sn 2.73-2.94
Se 0.3008 0.2422 0.2500  4 Sn 2.73-2.94
Se 0.6992 0.7578 0.7500  4 Sn 2.73-2.94
Se 0.7578 0.0586 0.2500  4 Sn 2.73-2.94
Se 0.9414 0.6992 0.2500  4 Sn 2.73-2.94
I 0.3333 0.6667 0.2500  3 Sn 3.21
I 0.6667 0.3333 0.7500  3 Sn 3.21

This record from the Alexandria database describes a geometry-optimized Sn3Se3I structure. The functional is PBE-GGA.

Values from the calculation:
Offset from the most stable computed form, meV per atom: 35
Magnetization, Bohr magnetons per cell: 0.000

a = 9.0196 Å, b = 9.0196 Å, c = 9.0196 Å
α = 57.39°, β = 57.39°, γ = 57.39°
Closest atoms and distances in Å follow each position.
Sites, in units of the cell vectors:
Sn 0.0841 0.7536 0.4734  4 Se 2.78-2.98
Sn 0.2464 0.5266 0.9159  4 Se 2.78-2.98
Sn 0.4734 0.0841 0.7536  4 Se 2.78-2.98
Sn 0.5266 0.9159 0.2464  4 Se 2.78-2.98
Sn 0.7536 0.4734 0.0841  4 Se 2.78-2.98
Sn 0.9159 0.2464 0.5266  4 Se 2.78-2.98
Se 0.1263 0.3939 0.7980  4 Sn 2.78-2.98
Se 0.2020 0.8737 0.6061  4 Sn 2.78-2.98
Se 0.3939 0.7980 0.1263  4 Sn 2.78-2.98
Se 0.6061 0.2020 0.8737  4 Sn 2.78-2.98
Se 0.7980 0.1263 0.3939  4 Sn 2.78-2.98
Se 0.8737 0.6061 0.2020  4 Sn 2.78-2.98
I 0.3284 0.3284 0.3284  6 Sn 3.46-3.80, 3 Se 3.85
I 0.6716 0.6716 0.6716  6 Sn 3.46-3.80, 3 Se 3.85

This record from the Alexandria database describes a geometry-optimized Sn2SeI structure. The functional is PBE-GGA.

Values from the calculation:
Offset from the most stable computed form, meV per atom: 167
Magnetization, Bohr magnetons per cell: 0.000

a = 7.6820 Å, b = 7.6820 Å, c = 7.6820 Å
α = 90.00°, β = 90.00°, γ = 90.00°
Closest atoms and distances in Å follow each position.
Sites, in units of the cell vectors:
Sn 0.2500 0.2500 0.2500  4 Se 3.33, 4 I 3.33
Sn 0.2500 0.2500 0.7500  4 Se 3.33, 4 I 3.33
Sn 0.2500 0.7500 0.2500  4 Se 3.33, 4 I 3.33
Sn 0.2500 0.7500 0.7500  4 I 3.33, 4 Se 3.33
Sn 0.7500 0.2500 0.2500  4 Se 3.33, 4 I 3.33
Sn 0.7500 0.2500 0.7500  4 I 3.33, 4 Se 3.33
Sn 0.7500 0.7500 0.2500  4 I 3.33, 4 Se 3.33
Sn 0.7500 0.7500 0.7500  4 Se 3.33, 4 I 3.33
Se 0.0000 0.0000 0.0000  8 Sn 3.33
Se 0.0000 0.5000 0.5000  8 Sn 3.33
Se 0.5000 0.0000 0.5000  8 Sn 3.33
Se 0.5000 0.5000 0.0000  8 Sn 3.33
I 0.0000 0.0000 0.5000  8 Sn 3.33
I 0.0000 0.5000 0.0000  8 Sn 3.33
I 0.5000 0.0000 0.0000  8 Sn 3.33
I 0.5000 0.5000 0.5000  8 Sn 3.33

This record from the Alexandria database describes a geometry-optimized Sn5Se12I3 structure. The functional is PBE-GGA.

Values from the calculation:
Raw total energy, eV/atom: -3.24
Magnetization, Bohr magnetons per cell: 0.004

a = 15.1562 Å, b = 15.1562 Å, c = 15.1562 Å
α = 109.47°, β = 109.47°, γ = 109.47°
Closest atoms and distances in Å follow each position.
Sites, in units of the cell vectors:
Sn 0.0000 0.0000 0.0000  6 Se 2.82
Sn 0.0000 0.0000 0.5000  6 Se 2.82
Sn 0.0000 0.5000 0.0000  6 Se 2.82
Sn 0.0000 0.5000 0.5000  6 Se 2.82
Sn 0.1250 0.7500 0.8750  4 Se 2.62
Sn 0.1250 0.8750 0.2500  4 Se 2.62
Sn 0.2500 0.1250 0.8750  4 Se 2.62
Sn 0.2500 0.6250 0.3750  4 Se 2.62
Sn 0.3750 0.2500 0.6250  4 Se 2.62
Sn 0.3750 0.6250 0.7500  4 Se 2.62
Sn 0.5000 0.0000 0.0000  6 Se 2.82
Sn 0.5000 0.0000 0.5000  6 Se 2.82
Sn 0.5000 0.5000 0.0000  6 Se 2.82
Sn 0.5000 0.5000 0.5000  6 Se 2.82
Sn 0.6250 0.3750 0.2500  4 Se 2.62
Sn 0.6250 0.7500 0.3750  4 Se 2.62
Sn 0.7500 0.3750 0.6250  4 Se 2.62
Sn 0.7500 0.8750 0.1250  4 Se 2.62
Sn 0.8750 0.1250 0.7500  4 Se 2.62
Sn 0.8750 0.2500 0.1250  4 Se 2.62
Se 0.0238 0.1960 0.1375  2 Sn 2.62-2.82
Se 0.0238 0.3278 0.8863  2 Sn 2.62-2.82
Se 0.0585 0.6960 0.6722  2 Sn 2.62-2.82
Se 0.0585 0.8625 0.3863  2 Sn 2.62-2.82
Se 0.1137 0.6375 0.4415  2 Sn 2.62-2.82
Se 0.1137 0.9762 0.6722  2 Sn 2.62-2.82
Se 0.1375 0.0238 0.1960  2 Sn 2.62-2.82
Se 0.1375 0.6137 0.9415  2 Sn 2.62-2.82
Se 0.1722 0.1960 0.5585  2 Sn 2.62-2.82
Se 0.1722 0.4762 0.6137  2 Sn 2.62-2.82
Se 0.1960 0.1375 0.0238  2 Sn 2.62-2.82
Se 0.1960 0.5585 0.1722  2 Sn 2.62-2.82
Se 0.3040 0.3278 0.9415  2 Sn 2.62-2.82
Se 0.3040 0.4762 0.3625  2 Sn 2.62-2.82
Se 0.3278 0.8863 0.0238  2 Sn 2.62-2.82
Se 0.3278 0.9415 0.3040  2 Sn 2.62-2.82
Se 0.3625 0.3040 0.4762  2 Sn 2.62-2.82
Se 0.3625 0.5585 0.8863  2 Sn 2.62-2.82
Se 0.3863 0.0585 0.8625  2 Sn 2.62-2.82
Se 0.3863 0.8278 0.5238  2 Sn 2.62-2.82
Se 0.4415 0.1137 0.6375  2 Sn 2.62-2.82
Se 0.4415 0.8278 0.8040  2 Sn 2.62-2.82
Se 0.4762 0.3625 0.3040  2 Sn 2.62-2.82
Se 0.4762 0.6137 0.1722  2 Sn 2.62-2.82
Se 0.5238 0.3863 0.8278  2 Sn 2.62-2.82
Se 0.5238 0.6375 0.6960  2 Sn 2.62-2.82
Se 0.5585 0.1722 0.1960  2 Sn 2.62-2.82
Se 0.5585 0.8863 0.3625  2 Sn 2.62-2.82
Se 0.6137 0.1722 0.4762  2 Sn 2.62-2.82
Se 0.6137 0.9415 0.1375  2 Sn 2.62-2.82
Se 0.6375 0.4415 0.1137  2 Sn 2.62-2.82
Se 0.6375 0.6960 0.5238  2 Sn 2.62-2.82
Se 0.6722 0.0585 0.6960  2 Sn 2.62-2.82
Se 0.6722 0.1137 0.9762  2 Sn 2.62-2.82
Se 0.6960 0.5238 0.6375  2 Sn 2.62-2.82
Se 0.6960 0.6722 0.0585  2 Sn 2.62-2.82
Se 0.8040 0.4415 0.8278  2 Sn 2.62-2.82
Se 0.8040 0.8625 0.9762  2 Sn 2.62-2.82
Se 0.8278 0.5238 0.3863  2 Sn 2.62-2.82
Se 0.8278 0.8040 0.4415  2 Sn 2.62-2.82
Se 0.8625 0.3863 0.0585  2 Sn 2.62-2.82
Se 0.8625 0.9762 0.8040  2 Sn 2.62-2.82
Se 0.8863 0.0238 0.3278  2 Sn 2.62-2.82
Se 0.8863 0.3625 0.5585  2 Sn 2.62-2.82
Se 0.9415 0.1375 0.6137  2 Sn 2.62-2.82
Se 0.9415 0.3040 0.3278  2 Sn 2.62-2.82
Se 0.9762 0.6722 0.1137  2 Sn 2.62-2.82
Se 0.9762 0.8040 0.8625  2 Sn 2.62-2.82
I 0.1250 0.2500 0.3750  4 Se 3.08
I 0.1250 0.3750 0.7500  4 Se 3.08
I 0.2500 0.3750 0.1250  4 Se 3.08
I 0.2500 0.8750 0.6250  4 Se 3.08
I 0.3750 0.1250 0.2500  4 Se 3.08
I 0.3750 0.7500 0.1250  4 Se 3.08
I 0.6250 0.2500 0.8750  4 Se 3.08
I 0.6250 0.8750 0.7500  4 Se 3.08
I 0.7500 0.1250 0.3750  4 Se 3.08
I 0.7500 0.6250 0.8750  4 Se 3.08
I 0.8750 0.6250 0.2500  4 Se 3.08
I 0.8750 0.7500 0.6250  4 Se 3.08

This record from the Alexandria database describes a geometry-optimized Sn2SeI structure. The functional is PBE-GGA.

Values from the calculation:
Offset from the most stable computed form, meV per atom: 191
Magnetization, Bohr magnetons per cell: 0.000

a = 5.9313 Å, b = 5.9313 Å, c = 17.7428 Å
α = 90.00°, β = 90.00°, γ = 90.00°
Closest atoms and distances in Å follow each position.
Sites, in units of the cell vectors:
Sn 0.1776 0.2500 0.1250  2 Se 2.87
Sn 0.2500 0.6776 0.3750  2 Se 2.87
Sn 0.2500 0.8224 0.8750  2 Se 2.87
Sn 0.3224 0.2500 0.6250  2 Se 2.87
Sn 0.6776 0.7500 0.6250  2 Se 2.87
Sn 0.7500 0.1776 0.8750  2 Se 2.87
Sn 0.7500 0.3224 0.3750  2 Se 2.87
Sn 0.8224 0.7500 0.1250  2 Se 2.87
Se 0.0000 0.0000 0.0000  4 Sn 2.87
Se 0.0000 0.5000 0.2500  4 Sn 2.87
Se 0.5000 0.0000 0.7500  4 Sn 2.87
Se 0.5000 0.5000 0.5000  4 Sn 2.87
I 0.0000 0.0000 0.5000  4 Sn 3.28
I 0.0000 0.5000 0.7500  4 Sn 3.28
I 0.5000 0.0000 0.2500  4 Sn 3.28
I 0.5000 0.5000 0.0000  4 Sn 3.28

This record from the Alexandria database describes a geometry-optimized Sn2Se2I structure. The functional is PBE-GGA.

Values from the calculation:
Offset from the most stable computed form, meV per atom: 0
Magnetization, Bohr magnetons per cell: 0.000

a = 4.2596 Å, b = 5.7186 Å, c = 13.4964 Å
α = 90.00°, β = 90.00°, γ = 90.00°
Closest atoms and distances in Å follow each position.
Sites, in units of the cell vectors:
Sn 0.0000 0.0000 0.1876  4 Se 2.86-2.87
Sn 0.0000 0.0000 0.8124  4 Se 2.86-2.87
Sn 0.5000 0.5000 0.3124  4 Se 2.86-2.87
Sn 0.5000 0.5000 0.6876  4 Se 2.86-2.87
Se 0.0000 0.5000 0.1709  4 Sn 2.86-2.87
Se 0.0000 0.5000 0.8291  4 Sn 2.86-2.87
Se 0.5000 0.0000 0.3291  4 Sn 2.86-2.87
Se 0.5000 0.0000 0.6709  4 Sn 2.86-2.87
I 0.0000 0.5000 0.5000  4 Sn 3.31
I 0.5000 0.0000 0.0000  4 Sn 3.31

This record from the Alexandria database describes a geometry-optimized Sn4Se2I3 structure. The functional is PBE-GGA.

Values from the calculation:
Raw total energy, eV/atom: -3.42
Magnetization, Bohr magnetons per cell: 0.000

a = 4.5017 Å, b = 4.5017 Å, c = 18.3060 Å
α = 90.09°, β = 90.09°, γ = 59.91°
Closest atoms and distances in Å follow each position.
Sites, in units of the cell vectors:
Sn 0.0007 0.0007 0.2944  3 Se 3.10-3.11, 3 I 3.20
Sn 0.3337 0.3337 0.1226  3 Se 2.97
Sn 0.6663 0.6663 0.8774  3 Se 2.97
Sn 0.9993 0.9993 0.7056  3 Se 3.10-3.11, 3 I 3.20
Se 0.3329 0.3329 0.7986  6 Sn 2.97-3.11
Se 0.6671 0.6671 0.2014  6 Sn 2.97-3.11
I 0.0000 0.0000 0.0000  6 Sn 3.43
I 0.3342 0.3342 0.3962  3 Sn 3.20
I 0.6658 0.6658 0.6038  3 Sn 3.20